Entry 1:
{"formula": "HfTiCdIn", "functional": "PBE-GGA", "state": "relaxed", "vol_a3_per_cell": 80.79, "total_energy_ev_per_atom": -5.4306, "lattice_angstrom": [[-2.2697, 1.0329, 1.7715], [-1.9509, -0.2736, -2.3400], [-1.7830, -8.0902, 2.4325]], "species": ["Hf", "Ti", "Cd", "In"], "fractional_positions": [[0.5000, 0.5000, 0.3204], [0.5000, 0.5000, 0.8217], [0.0000, 0.0000, 0.0607], [0.0000, 0.0000, 0.5818]]}

Entry 2:
{"formula": "Hf2TlCdIn", "functional": "PBE-GGA", "state": "relaxed", "vol_a3_per_cell": 198.84, "total_energy_ev_per_atom": -3.8339, "lattice_angstrom": [[5.7454, 0.0000, 0.0000], [0.0000, 5.7454, 0.0000], [0.0000, 0.0000, 6.0237]], "species": ["Tl", "Cd", "Hf", "Hf", "In"], "fractional_positions": [[0.0000, 0.0000, 0.0000], [0.0000, 0.0000, 0.5000], [0.0000, 0.5000, 0.0000], [0.5000, 0.0000, 0.0000], [0.5000, 0.5000, 0.5000]]}

Entry 3:
{"formula": "TmHfCdIn", "functional": "PBE-GGA", "state": "relaxed", "vol_a3_per_cell": 92.56, "total_energy_ev_per_atom": -4.6633, "lattice_angstrom": [[5.0775, 0.0000, 0.0000], [2.5388, 4.3973, 0.0000], [2.5388, 1.4658, 4.1458]], "species": ["Cd", "Tm", "Hf", "In"], "fractional_positions": [[0.7500, 0.7500, 0.7500], [0.0000, 0.0000, 0.0000], [0.5000, 0.5000, 0.5000], [0.2500, 0.2500, 0.2500]]}

Entry 4:
{"formula": "YHfCdIn", "functional": "PBE-GGA", "state": "relaxed", "vol_a3_per_cell": 94.58, "total_energy_ev_per_atom": -5.1860, "lattice_angstrom": [[5.1142, 0.0000, 0.0000], [2.5571, 4.4290, 0.0000], [2.5571, 1.4763, 4.1757]], "species": ["Y", "Cd", "Hf", "In"], "fractional_positions": [[0.7500, 0.7500, 0.7500], [0.5000, 0.5000, 0.5000], [0.2500, 0.2500, 0.2500], [0.0000, 0.0000, 0.0000]]}

Entry 5:
{"formula": "HfZnCdIn", "functional": "PBE-GGA", "state": "relaxed", "vol_a3_per_cell": 79.34, "total_energy_ev_per_atom": -3.8269, "lattice_angstrom": [[-1.2542, -3.3720, 2.2563], [1.6095, -2.6311, -3.0376], [3.7984, -0.0419, 2.0488]], "species": ["Hf", "Zn", "Cd", "In"], "fractional_positions": [[0.5000, 0.0000, 0.5000], [0.0000, 0.5000, 0.5000], [0.5000, 0.5000, 0.0000], [0.0000, 0.0000, 0.0000]]}

Entry 6:
{"formula": "HfCdIr3", "functional": "PBE-GGA", "state": "relaxed", "vol_a3_per_cell": 113.48, "total_energy_ev_per_atom": -6.2517, "relative_energy_mev_per_atom": 0, "lattice_angstrom": [[4.8414, 0.0000, 0.0000], [0.0000, 4.8414, 0.0000], [0.0000, 0.0000, 4.8414]], "species": ["Ir", "Ir", "Ir", "Hf", "Cd"], "fractional_positions": [[0.0000, 0.5000, 0.0000], [0.0000, 0.0000, 0.5000], [0.5000, 0.0000, 0.0000], [0.0000, 0.0000, 0.0000], [0.5000, 0.5000, 0.5000]]}

Entry 7:
{"formula": "HfCdIr3", "functional": "PBE-GGA", "state": "relaxed", "vol_a3_per_cell": 107.46, "total_energy_ev_per_atom": -5.8489, "relative_energy_mev_per_atom": 403, "lattice_angstrom": [[-0.4470, 3.8267, -2.7856], [-4.2910, -1.5085, -1.3838], [-1.9977, 2.3840, 3.5956]], "species": ["Ir", "Ir", "Ir", "Hf", "Cd"], "fractional_positions": [[0.0000, 0.5000, 0.0000], [0.0000, 0.0000, 0.5000], [0.5000, 0.0000, 0.0000], [0.5000, 0.5000, 0.5000], [0.0000, 0.0000, 0.0000]]}

Entry 8:
{"formula": "HfCd2Ir2", "functional": "PBE-GGA", "state": "relaxed", "vol_a3_per_cell": 194.61, "total_energy_ev_per_atom": -6.0396, "lattice_angstrom": [[-1.6649, -6.4304, -1.5504], [2.3786, -2.0738, 6.0471], [-3.7849, 0.5736, 1.6855]], "species": ["Ir", "Ir", "Ir", "Ir", "Hf", "Hf", "Cd", "Cd", "Cd", "Cd"], "fractional_positions": [[0.3683, 0.8683, 0.0000], [0.8683, 0.6317, 0.0000], [0.6317, 0.1317, 0.0000], [0.1317, 0.3683, 0.0000], [0.0000, 0.0000, 0.0000], [0.5000, 0.5000, 0.0000], [0.1696, 0.6696, 0.5000], [0.6696, 0.8304, 0.5000], [0.8304, 0.3304, 0.5000], [0.3304, 0.1696, 0.5000]]}

Entry 9:
{"formula": "Hf2CdIr2", "functional": "PBE-GGA", "state": "relaxed", "vol_a3_per_cell": 106.90, "total_energy_ev_per_atom": -8.2419, "lattice_angstrom": [[-1.5559, -0.8999, -4.0479], [-3.8510, -1.2897, 1.7669], [-4.5957, 3.9999, -1.5458]], "species": ["Ir", "Ir", "Hf", "Hf", "Cd"], "fractional_positions": [[0.3839, 0.3839, 0.2321], [0.6161, 0.6161, 0.7679], [0.7500, 0.2500, 0.5000], [0.2500, 0.7500, 0.5000], [0.0000, 0.0000, 0.0000]]}

Entry 10:
{"formula": "HfCd3Ir", "functional": "PBE-GGA", "state": "relaxed", "vol_a3_per_cell": 154.96, "total_energy_ev_per_atom": -2.4657, "relative_energy_mev_per_atom": 1008, "lattice_angstrom": [[5.3713, 0.0000, 0.0000], [0.0000, 5.3713, 0.0000], [0.0000, 0.0000, 5.3713]], "species": ["Ir", "Hf", "Cd", "Cd", "Cd"], "fractional_positions": [[0.5000, 0.5000, 0.5000], [0.0000, 0.0000, 0.0000], [0.0000, 0.5000, 0.0000], [0.0000, 0.0000, 0.5000], [0.5000, 0.0000, 0.0000]]}

Entry 11:
{"formula": "HfCd3Ir", "functional": "PBE-GGA", "state": "relaxed", "vol_a3_per_cell": 129.52, "total_energy_ev_per_atom": -3.4736, "relative_energy_mev_per_atom": 0, "lattice_angstrom": [[5.0596, 0.0000, 0.0000], [0.0000, 5.0596, 0.0000], [0.0000, 0.0000, 5.0596]], "species": ["Ir", "Hf", "Cd", "Cd", "Cd"], "fractional_positions": [[0.0000, 0.0000, 0.0000], [0.5000, 0.5000, 0.5000], [0.0000, 0.5000, 0.0000], [0.0000, 0.0000, 0.5000], [0.5000, 0.0000, 0.0000]]}

Entry 12:
{"formula": "LiHfCd2Ir", "functional": "PBE-GGA", "state": "relaxed", "vol_a3_per_cell": 88.87, "total_energy_ev_per_atom": -4.1846, "lattice_angstrom": [[-2.2928, 3.0253, -2.2361], [-3.8867, -1.6104, 1.8064], [0.4071, 2.8029, 3.3746]], "species": ["Ir", "Hf", "Li", "Cd", "Cd"], "fractional_positions": [[0.0000, 0.5000, 0.0000], [0.5000, 0.5000, 0.5000], [0.0000, 0.0000, 0.0000], [0.0000, 0.0000, 0.5000], [0.5000, 0.0000, 0.0000]]}